DFT (GGA-PBE) results for an optimized crystal structure of SmMg3Cu8.

Computed properties:
Its formation energy from the elements is -166 meV per atom. As for the density: 6.60 g/cm3. The size of the total moment is 0.000 μB per atom. Its calculated total energy is -0.1356 Ha/atom. The value obtained for the density of states at the Fermi level is 18.93 states/eV/cell.

a b c (Å): 5.0541 5.0541 24.9701
angles (deg): 90.00 90.00 120.00
Space group R3m (No. 160, hexagonal axes)
Asymmetric unit:
Sm (0.0000, 0.0000, 0.0000)
Mg (0.0000, 0.0000, 0.1286)
Mg (0.0000, 0.0000, 0.4962)
Mg (0.0000, 0.0000, 0.6152)
Cu (0.0000, 0.0000, 0.3103)
Cu (0.0000, 0.0000, 0.8117)
Cu (0.0002, 0.5001, 0.0637)
Cu (0.1676, 0.3352, 0.8931)

***

DFT (GGA-PBE) results for an optimized crystal structure of Sm2MgCu.

Computed properties:
Its formation energy from the elements is -118 meV per atom. As for the density: 6.38 g/cm3. The size of the total moment is 0.000 μB per atom. Its calculated total energy is -0.1433 Ha/atom. The value obtained for the density of states at the Fermi level is 4.86 states/eV/cell. The calculation puts the polymorph energy (0 for the lowest one) at 0.000 eV/f.u.

a b c (Å): 3.6468 3.6468 7.6028
angles (deg): 90.00 90.00 90.00
Space group P4/mmm (No. 123)
Asymmetric unit:
Sm (0.0000, 0.0000, 0.2224)
Mg (0.5000, 0.5000, 0.5000)
Cu (0.5000, 0.5000, 0.0000)

***

DFT (GGA-PBE) results for an optimized crystal structure of Sm5MgCu4.

Computed properties:
Its formation energy from the elements is -157 meV per atom. As for the density: 7.26 g/cm3. The size of the total moment is 0.000 μB per atom. Its calculated total energy is -0.1586 Ha/atom. The value obtained for the density of states at the Fermi level is 7.66 states/eV/cell.

a b c (Å): 3.5571 3.5571 18.6330
angles (deg): 90.00 90.00 90.00
Space group P4/mmm (No. 123)
Asymmetric unit:
Sm (0.0000, 0.0000, 0.0000)
Sm (0.0000, 0.0000, 0.1907)
Sm (0.0000, 0.0000, 0.3787)
Mg (0.5000, 0.5000, 0.5000)
Cu (0.5000, 0.5000, 0.0951)
Cu (0.5000, 0.5000, 0.2878)

***

DFT (GGA-PBE) results for an optimized crystal structure of Sm3MgCu2.

Computed properties:
Its formation energy from the elements is -142 meV per atom. As for the density: 6.83 g/cm3. The size of the total moment is 0.000 μB per atom. Its calculated total energy is -0.1519 Ha/atom. The value obtained for the density of states at the Fermi level is 5.47 states/eV/cell.

a b c (Å): 3.5570 3.5570 11.5722
angles (deg): 90.00 90.00 90.00
Space group P4/mmm (No. 123)
Asymmetric unit:
Sm (0.0000, 0.0000, 0.0000)
Sm (0.0000, 0.0000, 0.3030)
Mg (0.5000, 0.5000, 0.5000)
Cu (0.5000, 0.5000, 0.1571)

***

DFT (GGA-PBE) results for an optimized crystal structure of SmMgCu.

Computed properties:
Its formation energy from the elements is -35 meV per atom. As for the density: 5.35 g/cm3. The size of the total moment is 0.000 μB per atom. Its calculated total energy is -0.1288 Ha/atom. The value obtained for the density of states at the Fermi level is 15.32 states/eV/cell.

a b c (Å): 6.6621 6.6621 6.6621
angles (deg): 90.00 90.00 90.00
Space group F-43m (No. 216)
Asymmetric unit:
Sm (0.0000, 0.0000, 0.0000)
Mg (0.0000, 0.0000, 0.5000)
Cu (0.2500, 0.2500, 0.2500)

***

DFT (GGA-PBE) results for an optimized crystal structure of Sm2Mg3Cu4.

Computed properties:
Its formation energy from the elements is -109 meV per atom. As for the density: 5.84 g/cm3. The size of the total moment is 0.000 μB per atom. Its calculated total energy is -0.1290 Ha/atom. The value obtained for the density of states at the Fermi level is 24.05 states/eV/cell.

a b c (Å): 5.8958 16.9489 7.1435
angles (deg): 90.00 90.00 90.00
Space group Cmce (No. 64)
Asymmetric unit:
Sm (0.0000, 0.1000, 0.0940)
Mg (0.0000, 0.0000, 0.5000)
Mg (0.2500, 0.2362, 0.7500)
Cu (0.0000, 0.1571, 0.4913)
Cu (0.2500, 0.0743, 0.7500)

***

DFT (GGA-PBE) results for an optimized crystal structure of SmMgCu.

Computed properties:
Its formation energy from the elements is -61 meV per atom. As for the density: 5.87 g/cm3. The size of the total moment is 0.000 μB per atom. Its calculated total energy is -0.1298 Ha/atom. The value obtained for the density of states at the Fermi level is 2.04 states/eV/cell.

a b c (Å): 4.7382 4.7382 3.4675
angles (deg): 90.00 90.00 120.00
Space group P-6m2 (No. 187)
Asymmetric unit:
Sm (0.0000, 0.0000, 0.0000)
Mg (0.6667, 0.3333, 0.5000)
Cu (0.3333, 0.6667, 0.5000)

***

DFT (GGA-PBE) results for an optimized crystal structure of Sm3MgCu8.

Computed properties:
Its formation energy from the elements is -172 meV per atom. As for the density: 8.02 g/cm3. The size of the total moment is 0.000 μB per atom. Its calculated total energy is -0.1549 Ha/atom. The value obtained for the density of states at the Fermi level is 7.66 states/eV/cell.

a b c (Å): 5.2594 5.2594 8.5071
angles (deg): 90.00 90.00 120.00
Space group P3m1 (No. 156)
Asymmetric unit:
Sm (0.0000, 0.0000, 0.0000)
Sm (0.0000, 0.0000, 0.3870)
Sm (0.3333, 0.6667, 0.8604)
Mg (0.3333, 0.6667, 0.4871)
Cu (0.0002, 0.5001, 0.1905)
Cu (0.3384, 0.1692, 0.6833)
Cu (0.6667, 0.3333, 0.4403)
Cu (0.6667, 0.3333, 0.9414)

***

DFT (GGA-PBE) results for an optimized crystal structure of Sm2MgCu6.

Computed properties:
Its formation energy from the elements is -120 meV per atom. As for the density: 7.40 g/cm3. The size of the total moment is 0.000 μB per atom. Its calculated total energy is -0.1498 Ha/atom. The value obtained for the density of states at the Fermi level is 11.17 states/eV/cell.

a b c (Å): 9.8511 5.7016 5.6437
angles (deg): 90.00 90.09 90.00
Space group C2/m (No. 12)
Asymmetric unit:
Sm (0.1667, 0.0000, 0.3413)
Mg (0.0000, 0.5000, 0.5000)
Cu (0.0926, 0.2223, 0.8473)
Cu (0.1839, 0.5000, 0.1530)

***

DFT (GGA-PBE) results for an optimized crystal structure of Sm3Mg7Cu4.

Computed properties:
Its formation energy from the elements is -124 meV per atom. As for the density: 4.79 g/cm3. The size of the total moment is 0.000 μB per atom. Its calculated total energy is -0.1140 Ha/atom. The value obtained for the density of states at the Fermi level is 18.05 states/eV/cell.

a b c (Å): 16.1903 4.3427 10.2982
angles (deg): 90.00 123.13 90.00
Space group C2/m (No. 12)
Asymmetric unit:
Sm (0.0000, 0.0000, 0.0000)
Sm (0.1931, 0.5000, 0.7072)
Mg (0.0000, 0.0000, 0.5000)
Mg (0.0120, 0.5000, 0.2932)
Mg (0.1669, 0.0000, 0.4305)
Mg (0.1787, 0.5000, 0.0155)
Cu (0.1143, 0.0000, 0.8247)
Cu (0.1650, 0.5000, 0.2637)

***

DFT (GGA-PBE) results for an optimized crystal structure of Sm4MgCu2.

Computed properties:
Its formation energy from the elements is 60 meV per atom. As for the density: 6.51 g/cm3. The size of the total moment is 0.000 μB per atom. Its calculated total energy is -0.1483 Ha/atom. The value obtained for the density of states at the Fermi level is 24.98 states/eV/cell.

a b c (Å): 5.0987 5.0987 25.6036
angles (deg): 90.00 90.00 120.00
Space group R-3m (No. 166, hexagonal axes)
Asymmetric unit:
Sm (0.0000, 0.0000, 0.1183)
Sm (0.0000, 0.0000, 0.2903)
Mg (0.0000, 0.0000, 0.5000)
Cu (0.0000, 0.0000, 0.4017)

***

DFT (GGA-PBE) results for an optimized crystal structure of Sm2MgCu16.

Computed properties:
Its formation energy from the elements is -130 meV per atom. As for the density: 8.15 g/cm3. The size of the total moment is 0.000 μB per atom. Its calculated total energy is -0.1529 Ha/atom. The value obtained for the density of states at the Fermi level is 27.68 states/eV/cell.

a b c (Å): 8.6376 8.6376 12.6926
angles (deg): 90.00 90.00 120.00
Space group R3m (No. 160, hexagonal axes)
Asymmetric unit:
Sm (0.0000, 0.0000, 0.0000)
Sm (0.0000, 0.0000, 0.3064)
Mg (0.0000, 0.0000, 0.7402)
Cu (0.0000, 0.0000, 0.5412)
Cu (0.0002, 0.2984, 0.6462)
Cu (0.0027, 0.5014, 0.1471)
Cu (0.1676, 0.3351, 0.1361)
Cu (0.1678, 0.3357, 0.8261)